[1]
Density functional theory data (PBE) for a relaxed ZrAg2TeO6 crystal.

The structure in POSCAR format:
```
ZrAg2TeO6
1.0
-2.2645 5.1294 1.0614
-4.7160 -2.4999 2.0197
3.2240 -0.1070 7.3956
Zr Ag Te O
2 4 2 12
Cartesian
-1.9237 -1.9278 5.2120
-2.3126 1.9390 1.0362
-3.8641 0.6622 3.8966
1.2413 -0.7044 6.0526
-2.2535 0.6087 7.5913
-0.3721 -0.6509 2.3516
-0.6981 1.8868 4.7329
-3.5381 -1.8756 1.5153
-1.4715 1.9123 2.9600
0.0744 1.8609 6.5062
-2.7648 -1.9010 3.2882
-1.0867 -1.9567 7.1376
0.9757 1.2576 3.9942
-0.1094 3.7155 4.5028
-1.2848 0.0576 4.9623
-2.3711 2.5182 5.4714
-4.1296 2.6225 1.8382
-2.9514 -0.0463 1.2860
-5.2120 -1.2463 2.2541
-6.3914 1.4252 2.8069
```

- DOS(E_F): 0.00 states/eV/f.u.
- Electronic total energy: -6.043 eV per atom
- Space group: Fm-3m (225)
- Formation energy from raw total energies: -1.329 eV per atom

=====

[2]
Density functional theory data (PBE) for a relaxed ZrAgTeO5 crystal.

The structure in POSCAR format:
```
ZrAgTeO5
1.0
-5.6755 0.9667 1.2565
1.3014 -1.6601 5.5023
3.8295 7.2410 -1.8129
Zr Ag Te O
2 2 2 10
Cartesian
1.9148 3.6205 -0.9065
0.0000 0.0000 0.0000
0.3011 0.8872 3.8577
-0.8456 5.6604 1.0882
-2.4742 1.9321 2.1688
1.9297 4.6155 2.7771
2.2061 0.1700 5.0170
-2.7506 6.3777 -0.0711
-3.9085 0.4685 2.3819
3.3639 6.0792 2.5640
-2.0366 3.7711 1.3492
1.4921 2.7766 3.5967
-1.8369 2.1165 3.9472
1.2924 4.4311 0.9987
-0.9290 0.9260 1.7186
0.3844 5.6216 3.2273
```

- DOS(E_F): 1.94 states/eV/f.u.
- Electronic total energy: -6.469 eV per atom
- Space group: C2/c (15)
- Formation energy from raw total energies: -1.553 eV per atom

=====

[3]
Density functional theory data (PBE) for a relaxed ThAgO crystal.

The structure in POSCAR format:
```
ThAgO
1.0
-0.2956 -0.6811 3.8971
1.7288 -2.6823 -2.3570
8.5856 4.3009 1.4029
Ag Th O
2 2 2
Cartesian
1.2570 -3.0264 1.5857
5.5504 -0.8773 2.2870
2.3497 0.0626 2.2085
6.6431 2.2133 2.9100
3.0242 -0.6046 0.1237
7.3182 1.5464 0.8253
```

- DOS(E_F): 1.41 states/eV/f.u.
- Electronic total energy: -6.724 eV per atom
- Space group: P-6m2 (187)
- Formation energy from raw total energies: -1.648 eV per atom

=====

Look up the DOS(E_F) of the third one. 1.41 states/eV/f.u.

=====

What did the third record say?
Density functional theory data (PBE) for a relaxed ThAgO crystal.

The structure in POSCAR format:
```
ThAgO
1.0
-0.2956 -0.6811 3.8971
1.7288 -2.6823 -2.3570
8.5856 4.3009 1.4029
Ag Th O
2 2 2
Cartesian
1.2570 -3.0264 1.5857
5.5504 -0.8773 2.2870
2.3497 0.0626 2.2085
6.6431 2.2133 2.9100
3.0242 -0.6046 0.1237
7.3182 1.5464 0.8253
```

- DOS(E_F): 1.41 states/eV/f.u.
- Electronic total energy: -6.724 eV per atom
- Space group: P-6m2 (187)
- Formation energy from raw total energies: -1.648 eV per atom